(1)
Here is crystalline DyMg2 at its relaxed geometry from Alexandria. Energies are from GGA-PBE.

Lattice parameters (Å, degrees): 6.066 6.066 9.749 90.00 90.00 120.00
Fractional positions:
Mg 0.658 0.829 0.750
Mg 0.000 0.000 0.000
Mg 0.342 0.171 0.250
Mg 0.171 0.342 0.750
Mg 0.829 0.171 0.250
Mg 0.829 0.658 0.250
Mg 0.171 0.829 0.750
Mg 0.000 0.000 0.500
Dy 0.667 0.333 0.564
Dy 0.667 0.333 0.936
Dy 0.333 0.667 0.436
Dy 0.333 0.667 0.064

Output
- E_form (eV/atom) = -0.068
- volume (Å³/atom) = 25.89
- DOS at the Fermi energy (states/eV per cell) = 13.45
- total energy (eV per atom) = -2.666

***

(2)
Here is crystalline PaAsPRu3 at its relaxed geometry from Alexandria. Energies are from GGA-PBE.

Lattice parameters (Å, degrees): 5.590 5.500 7.885 110.41 90.00 90.00
Fractional positions:
Pa 0.750 0.306 0.611
Pa 0.250 0.694 0.389
As 0.250 0.406 0.811
As 0.750 0.594 0.189
P 0.750 0.916 0.833
P 0.250 0.084 0.167
Ru 0.500 0.247 0.000
Ru 0.750 0.759 0.518
Ru 0.000 0.753 0.000
Ru 0.250 0.241 0.482
Ru 0.000 0.247 0.000
Ru 0.500 0.753 0.000

Output
- E_form (eV/atom) = -0.475
- volume (Å³/atom) = 18.93
- DOS at the Fermi energy (states/eV per cell) = 8.89
- total energy (eV per atom) = -8.373